[1]
Entry from Alexandria via LeMat-Bulk: crystalline CdAsIr2 at its relaxed geometry (GGA-PBE).

Cell: 2.9670 5.0884 5.4331 Å, 52.81 90.00 90.00°
Closest atoms and distances in Å follow each position.
Fractional coordinates of all 4 atoms:
Cd1 0.0000 0.0000 0.5000  6 Ir 2.72-2.77, 4 As 2.95, 2 Cd 2.97
As1 0.5000 0.5000 0.5000  6 Ir 2.72-2.77, 4 Cd 2.95, 2 As 2.97
Ir1 0.0000 0.0000 0.0000  2 Cd 2.72, 4 As 2.77, 6 Ir 2.95-2.97
Ir2 0.5000 0.5000 0.0000  2 As 2.72, 4 Cd 2.77, 6 Ir 2.95-2.97

Computed properties:
Calculated density ... 14.5 g/cm3
Calculated formation energy ... 1.07 eV per formula unit
Spin magnetization ... 0.00 μB/f.u.
Polymorph energy (0 for the lowest one) ... 16.9 kJ/mol of atoms
Fermi-level density of states ... 3.020 states/eV/f.u.
Calculated total energy ... -22.22 eV per cell


[2]
Entry from Alexandria via LeMat-Bulk: crystalline Pr5Tl2Si2 at its relaxed geometry (GGA-PBE).

Cell: 7.9454 8.0097 9.1687 Å, 90.00 64.32 90.00°
Closest atoms and distances in Å follow each position.
Fractional coordinates of all 18 atoms:
Tl1 0.7776 0.0000 0.4448  6 Pr 3.27-3.37
Tl2 0.2224 0.0000 0.5552  6 Pr 3.27-3.37
Pr1 0.5000 0.5000 0.0000  4 Si 3.22-3.23, 4 Pr 3.53
Si1 0.3907 0.8869 0.0000  1 Si 2.51
Pr2 0.6863 0.3189 0.2498  3 Si 3.09-3.20, 3 Tl 3.27-3.37
Tl3 0.7224 0.5000 0.5552  6 Pr 3.27-3.37
Si2 0.6093 0.1131 0.0000  1 Si 2.51
Pr3 0.0639 0.6811 0.2498  3 Si 3.09-3.20, 3 Tl 3.27-3.37
Si3 0.1093 0.3869 0.0000  1 Si 2.51
Pr4 0.9361 0.3189 0.7502  3 Si 3.09-3.20, 3 Tl 3.27-3.37
Si4 0.8907 0.6131 0.0000  1 Si 2.51
Pr5 0.3137 0.6811 0.7502  3 Si 3.09-3.20, 3 Tl 3.27-3.37
Pr6 0.1863 0.1811 0.2498  3 Si 3.09-3.20, 3 Tl 3.27-3.37
Pr7 0.8137 0.8189 0.7502  3 Si 3.09-3.20, 3 Tl 3.27-3.37
Pr8 0.0000 0.0000 0.0000  4 Si 3.22-3.23, 4 Pr 3.53
Pr9 0.4361 0.1811 0.7502  3 Si 3.09-3.20, 3 Tl 3.27-3.37
Pr10 0.5639 0.8189 0.2498  3 Si 3.09-3.20, 3 Tl 3.27-3.37
Tl4 0.2776 0.5000 0.4448  6 Pr 3.27-3.37

Computed properties:
Calculated density ... 7.4 g/cm3
Spin magnetization ... 0.00 μB/f.u.
ΔE_f (raw) ... -508.0 meV/atom
Fermi-level density of states ... 9.394 states/eV/f.u.
Calculated total energy ... -88.10 eV per cell